# 1
VASP calculation (PBE-GGA) on crystalline NdAl2Co2Si at its relaxed geometry.

It has space group P4/mmm (No. 123), with a = 4.251 Å, b = 4.251 Å, c = 5.698 Å, α = 90.00°, β = 90.00° and γ = 90.00°. The distinct sites, in fractional coordinates, are Nd at (0.000, 0.000, 0.000), Al at (0.500, 0.500, 0.250), Co at (0.000, 0.500, 0.500) and Si at (0.000, 0.000, 0.500).

Its formation energy (no corrections) is -2.362 eV/f.u. The calculated volume comes out at 103.0 Å³/cell. The total magnetization is 1.10 μB per cell. The calculation puts the total energy at -34.25 eV per cell.

# 2
VASP calculation (PBE-GGA) on crystalline AlCo2Ni at its relaxed geometry.

It has space group Pmmm (No. 47), with a = 2.604 Å, b = 3.425 Å, c = 5.120 Å, α = 90.00°, β = 90.00° and γ = 90.00°. The distinct sites, in fractional coordinates, are Al at (0.000, 0.000, 0.000), Co at (0.500, 0.500, 0.258) and Ni at (0.000, 0.000, 0.500).

The calculated volume comes out at 45.7 Å³/cell. The total magnetization is 2.63 μB per cell. The calculation puts the total energy at -24.44 eV per cell.

# 3
VASP calculation (PBE-GGA) on crystalline AlCoNi at its relaxed geometry.

It has space group F-43m (No. 216), with a = 5.495 Å, b = 5.495 Å, c = 5.495 Å, α = 90.00°, β = 90.00° and γ = 90.00°. The distinct sites, in fractional coordinates, are Al at (0.000, 0.000, 0.000), Co at (0.000, 0.000, 0.500) and Ni at (0.250, 0.250, 0.750).

The calculated volume comes out at 165.9 Å³/cell. The total magnetization is 6.22 μB per cell. For the excess energy over the best structure of this formula in the dataset, the calculation gives 1.00 eV per formula unit. The calculation puts the total energy at -66.25 eV per cell.

# 4
VASP calculation (PBE-GGA) on crystalline Al2CoNi at its relaxed geometry.

It has space group I-42d (No. 122), with a = 6.361 Å, b = 6.361 Å, c = 5.311 Å, α = 90.00°, β = 90.00° and γ = 90.00°. The distinct sites, in fractional coordinates, are Al at (0.249, 0.750, 0.125), Co at (0.000, 0.000, 0.500) and Ni at (0.000, 0.000, 0.000).

The calculated volume comes out at 214.9 Å³/cell. The total magnetization is 0.00 μB per cell. The calculation puts the total energy at -81.48 eV per cell.

# 5
VASP calculation (PBE-GGA) on crystalline AlCo2Ni at its relaxed geometry.

It has space group Cmmm (No. 65), with a = 5.108 Å, b = 6.799 Å, c = 2.615 Å, α = 90.00°, β = 90.00° and γ = 90.00°. The distinct sites, in fractional coordinates, are Al at (0.000, 0.000, 0.000), Co at (0.250, 0.250, 0.500) and Ni at (0.000, 0.500, 0.000).

The calculated volume comes out at 90.8 Å³/cell. The total magnetization is 4.79 μB per cell. The calculation puts the total energy at -49.04 eV per cell.

# 6
VASP calculation (PBE-GGA) on crystalline Al2CoNi at its relaxed geometry.

It has space group C2/m (No. 12), with a = 7.951 Å, b = 2.712 Å, c = 4.722 Å, α = 90.00°, β = 101.21° and γ = 90.00°. The distinct sites, in fractional coordinates, are Al at (0.249, 0.000, 0.247), Co at (0.000, 0.500, 0.000) and Ni at (0.000, 0.000, 0.500).

The calculated volume comes out at 99.9 Å³/cell. The total magnetization is 1.55 μB per cell. The calculation puts the total energy at -43.35 eV per cell.

# 7
VASP calculation (PBE-GGA) on crystalline Al2CoNi at its relaxed geometry.

It has space group I-4m2 (No. 119), with a = 3.470 Å, b = 3.470 Å, c = 8.058 Å, α = 90.00°, β = 90.00° and γ = 90.00°. The distinct sites, in fractional coordinates, are Al at (0.000, 0.000, 0.000), Al at (0.000, 0.500, 0.250), Co at (0.000, 0.500, 0.750) and Ni at (0.000, 0.000, 0.500).

The calculated volume comes out at 97.0 Å³/cell. The total magnetization is 0.00 μB per cell. The calculation puts the total energy at -44.42 eV per cell.

# 8
VASP calculation (PBE-GGA) on crystalline Al3Co2Ni at its relaxed geometry.

It has space group P4/mmm (No. 123), with a = 2.831 Å, b = 2.831 Å, c = 8.819 Å, α = 90.00°, β = 90.00° and γ = 90.00°. The distinct sites, in fractional coordinates, are Al at (0.000, 0.000, 0.000), Al at (0.000, 0.000, 0.330), Co at (0.500, 0.500, 0.166) and Ni at (0.500, 0.500, 0.500).

The calculated volume comes out at 70.7 Å³/cell. The total magnetization is 0.00 μB per cell. The calculation puts the total energy at -34.90 eV per cell.

# 9
VASP calculation (PBE-GGA) on crystalline Al3CoNi at its relaxed geometry.

It has space group Pm-3m (No. 221), with a = 4.364 Å, b = 4.364 Å, c = 4.364 Å, α = 90.00°, β = 90.00° and γ = 90.00°. The distinct sites, in fractional coordinates, are Al at (0.000, 0.000, 0.500), Co at (0.000, 0.000, 0.000) and Ni at (0.500, 0.500, 0.500).

The calculated volume comes out at 83.1 Å³/cell. The total magnetization is 0.00 μB per cell. For the excess energy over the best structure of this formula in the dataset, the calculation gives 0.00 eV per formula unit. The calculation puts the total energy at -23.23 eV per cell.

# 10
VASP calculation (PBE-GGA) on crystalline AlCo2Ni at its relaxed geometry.

It has space group I-4m2 (No. 119), with a = 3.674 Å, b = 3.674 Å, c = 6.749 Å, α = 90.00°, β = 90.00° and γ = 90.00°. The distinct sites, in fractional coordinates, are Al at (0.000, 0.000, 0.000), Co at (0.000, 0.000, 0.500), Co at (0.000, 0.500, 0.750) and Ni at (0.000, 0.500, 0.250).

The calculated volume comes out at 91.1 Å³/cell. The total magnetization is 5.39 μB per cell. The calculation puts the total energy at -49.66 eV per cell.

# 11
VASP calculation (PBE-GGA) on crystalline AlCoNi4 at its relaxed geometry.

It has space group F-43m (No. 216), with a = 6.569 Å, b = 6.569 Å, c = 6.569 Å, α = 90.00°, β = 90.00° and γ = 90.00°. The distinct sites, in fractional coordinates, are Al at (0.000, 0.000, 0.000), Co at (0.250, 0.250, 0.750) and Ni at (0.125, 0.125, 0.375).

The calculated volume comes out at 283.4 Å³/cell. The total magnetization is 13.17 μB per cell. For the excess energy over the best structure of this formula in the dataset, the calculation gives 0.87 eV per formula unit. The calculation puts the total energy at -136.55 eV per cell.

# 12
VASP calculation (PBE-GGA) on crystalline Al2CoNi at its relaxed geometry.

It has space group F-43m (No. 216), with a = 5.821 Å, b = 5.821 Å, c = 5.821 Å, α = 90.00°, β = 90.00° and γ = 90.00°. The distinct sites, in fractional coordinates, are Al at (0.000, 0.000, 0.000), Al at (0.250, 0.250, 0.250), Co at (0.250, 0.250, 0.750) and Ni at (0.000, 0.000, 0.500).

The calculated volume comes out at 197.2 Å³/cell. The total magnetization is 0.26 μB per cell. The calculation puts the total energy at -85.45 eV per cell.

# 13
VASP calculation (PBE-GGA) on crystalline AlCo2Ni at its relaxed geometry.

It has space group I-42d (No. 122), with a = 3.394 Å, b = 3.394 Å, c = 17.432 Å, α = 90.00°, β = 90.00° and γ = 90.00°. The distinct sites, in fractional coordinates, are Al at (0.000, 0.000, 0.000), Co at (0.247, 0.250, 0.125) and Ni at (0.000, 0.000, 0.500).

The calculated volume comes out at 200.8 Å³/cell. The total magnetization is 13.14 μB per cell. The calculation puts the total energy at -92.74 eV per cell.

# 14
VASP calculation (PBE-GGA) on crystalline AlCoNi4 at its relaxed geometry.

It has space group C2/m (No. 12), with a = 4.018 Å, b = 6.956 Å, c = 4.886 Å, α = 90.00°, β = 90.11° and γ = 90.00°. The distinct sites, in fractional coordinates, are Al at (0.000, 0.000, 0.000), Co at (0.000, 0.000, 0.500) and Ni at (0.000, 0.333, 0.253).

The calculated volume comes out at 136.5 Å³/cell. The total magnetization is 4.71 μB per cell. For the excess energy over the best structure of this formula in the dataset, the calculation gives 0.30 eV per formula unit. The calculation puts the total energy at -69.42 eV per cell.

# 15
VASP calculation (PBE-GGA) on crystalline Al4CoNi3 at its relaxed geometry.

It has space group P4/mmm (No. 123), with a = 2.885 Å, b = 2.885 Å, c = 11.515 Å, α = 90.00°, β = 90.00° and γ = 90.00°. The distinct sites, in fractional coordinates, are Al at (0.000, 0.000, 0.123), Al at (0.000, 0.000, 0.375), Co at (0.500, 0.500, 0.000), Ni at (0.500, 0.500, 0.248) and Ni at (0.500, 0.500, 0.500).

The calculated volume comes out at 95.8 Å³/cell. The total magnetization is 0.24 μB per cell. The calculation puts the total energy at -44.52 eV per cell.

# 16
VASP calculation (PBE-GGA) on crystalline Al2CoNi at its relaxed geometry.

It has space group Cmmm (No. 65), with a = 5.778 Å, b = 5.814 Å, c = 2.826 Å, α = 90.00°, β = 90.00° and γ = 90.00°. The distinct sites, in fractional coordinates, are Al at (0.250, 0.250, 0.000), Co at (0.000, 0.000, 0.500) and Ni at (0.000, 0.500, 0.500).

The calculated volume comes out at 94.9 Å³/cell. The total magnetization is 0.00 μB per cell. The calculation puts the total energy at -45.68 eV per cell.

# 17
VASP calculation (PBE-GGA) on crystalline Al2CoNi at its relaxed geometry.

It has space group P4/mmm (No. 123), with a = 2.855 Å, b = 2.855 Å, c = 5.820 Å, α = 90.00°, β = 90.00° and γ = 90.00°. The distinct sites, in fractional coordinates, are Al at (0.000, 0.000, 0.246), Co at (0.500, 0.500, 0.000) and Ni at (0.500, 0.500, 0.500).

The calculated volume comes out at 47.4 Å³/cell. The total magnetization is 0.01 μB per cell. The calculation puts the total energy at -22.85 eV per cell.

# 18
VASP calculation (PBE-GGA) on crystalline AlCo6Ni at its relaxed geometry.

It has space group Cmmm (No. 65), with a = 7.096 Å, b = 10.046 Å, c = 10.036 Å, α = 90.00°, β = 90.00° and γ = 90.00°. The distinct sites, in fractional coordinates, are Al at (0.000, 0.000, 0.249), Al at (0.000, 0.248, 0.000), Co at (0.000, 0.000, 0.000), Co at (0.000, 0.000, 0.500), Co at (0.000, 0.252, 0.255), Co at (0.000, 0.500, 0.000), Co at (0.000, 0.500, 0.500), Co at (0.245, 0.376, 0.127), Co at (0.247, 0.373, 0.377), Ni at (0.000, 0.249, 0.500) and Ni at (0.000, 0.500, 0.250).

The calculated volume comes out at 715.4 Å³/cell. The total magnetization is 76.00 μB per cell. The calculation puts the total energy at -422.68 eV per cell.

# 19
VASP calculation (PBE-GGA) on crystalline Al3CoNi at its relaxed geometry.

It has space group Pm-3m (No. 221), with a = 4.378 Å, b = 4.378 Å, c = 4.378 Å, α = 90.00°, β = 90.00° and γ = 90.00°. The distinct sites, in fractional coordinates, are Al at (0.000, 0.000, 0.500), Co at (0.500, 0.500, 0.500) and Ni at (0.000, 0.000, 0.000).

The calculated volume comes out at 83.9 Å³/cell. The total magnetization is 1.40 μB per cell. For the excess energy over the best structure of this formula in the dataset, the calculation gives 0.53 eV per formula unit. The calculation puts the total energy at -22.69 eV per cell.

# 20
VASP calculation (PBE-GGA) on crystalline AlCoNi at its relaxed geometry.

It has space group I4mm (No. 107), with a = 2.759 Å, b = 2.759 Å, c = 9.139 Å, α = 90.00°, β = 90.00° and γ = 90.00°. The distinct sites, in fractional coordinates, are Al at (0.000, 0.000, 0.000), Co at (0.000, 0.000, 0.664) and Ni at (0.000, 0.000, 0.334).

The calculated volume comes out at 69.6 Å³/cell. The total magnetization is 2.00 μB per cell. For the excess energy over the best structure of this formula in the dataset, the calculation gives 0.03 eV per formula unit. The calculation puts the total energy at -35.07 eV per cell.